(1)
## RbCu3O (GGA-PBE)

Data for a relaxed structure of RbCu3O.

```
RbCu3O
1.0
5.260 0.000 0.000
0.000 5.260 0.000
0.000 0.000 5.260
O Cu Rb
1 3 1
direct
0.500 0.500 0.500
0.000 0.500 0.000
0.000 0.000 0.500
0.500 0.000 0.000
0.000 0.000 0.000
```

* distance to the lowest polymorph of the same formula: 9.20 eV per formula unit
* SG: Pm-3m, No. 221
* total moment: 0.00 μB per cell
* formation energy (no corrections): 2200 meV per atom



(2)
## GaBr2N (GGA-PBE)

Data for a relaxed structure of GaBr2N.

```
GaBr2N
1.0
-2.121 7.623 2.353
-3.193 4.928 5.803
1.067 6.286 5.244
Ga Br N
1 2 1
direct
0.500 0.500 0.500
0.906 0.906 0.906
0.094 0.094 0.094
0.000 0.000 0.000
```

* distance to the lowest polymorph of the same formula: 0.17 eV per formula unit
* SG: R-3m, No. 166
* total moment: 2.00 μB per cell
* formation energy (no corrections): 862 meV per atom